Density functional theory data (PBE) for HfTa2Sn after structural relaxation.

Geometry as POSCAR:
```
HfTa2Sn
1.0
4.652 0.000 0.000
0.000 4.117 0.000
0.000 0.000 4.117
Ta Sn Hf
2 1 1
direct
0.000 0.500 0.000
0.000 0.000 0.500
0.500 0.500 0.500
0.500 0.000 0.000
```

Results
total magnetization: 0.000 μB/f.u.
V: 78.9 Å³/cell
DFT formation energy: -0.066 eV per atom

=====

Density functional theory data (PBE) for CeErCuRe after structural relaxation.

Geometry as POSCAR:
```
CeErCuRe
1.0
4.878 0.000 0.000
2.439 4.224 0.000
2.439 1.408 3.983
Er Cu Ce Re
1 1 1 1
direct
0.500 0.500 0.500
0.250 0.250 0.250
0.000 0.000 0.000
0.750 0.750 0.750
```

Results
total magnetization: 0.001 μB/f.u.
V: 82.1 Å³/cell
DFT formation energy: -0.002 eV per atom

=====

Which of these has the highest DFT formation energy?
CeErCuRe